# BeCuIr2 (PBE, optimized geometry)
# * total energy: -52.12 eV/cell
# * volume: 12.7 A^3/atom
# * energy of formation from the pure elements: -128.8 meV per atom
# * DOS(E_F): 4.72 states/eV per cell
# * theoretical density: 14.92 g cm⁻³
data_BeCuIr2
_chemical_formula_sum 'Be2 Cu2 Ir4'
_space_group_name_H-M_alt 'I m m m'
_space_group_IT_number 71
_space_group_name_Hall '-I 2 2'
_cell_length_a 2.7526
_cell_length_b 4.4088
_cell_length_c 8.3817
_cell_angle_alpha 90.00
_cell_angle_beta 90.00
_cell_angle_gamma 90.00
loop_
_atom_site_label
_atom_site_type_symbol
_atom_site_fract_x
_atom_site_fract_y
_atom_site_fract_z
Be1 Be 0.0000 0.0000 0.0000
Cu1 Cu 0.0000 0.0000 0.5000
Ir1 Ir 0.0000 0.5000 0.2813

=====

# Be2Cu2Ir (PBE, optimized geometry)
# * total energy: -50.08 eV/cell
# * volume: 10.7 A^3/atom
# * energy of formation from the pure elements: -106.9 meV per atom
# * DOS(E_F): 4.53 states/eV per cell
# * theoretical density: 10.43 g cm⁻³
data_Be2Cu2Ir
_chemical_formula_sum 'Be4 Cu4 Ir2'
_space_group_name_H-M_alt 'P 4/m b m'
_space_group_IT_number 127
_space_group_name_Hall '-P 4 2ab'
_cell_length_a 6.2380
_cell_length_b 6.2380
_cell_length_c 2.7607
_cell_angle_alpha 90.00
_cell_angle_beta 90.00
_cell_angle_gamma 90.00
loop_
_atom_site_label
_atom_site_type_symbol
_atom_site_fract_x
_atom_site_fract_y
_atom_site_fract_z
Be1 Be 0.1371 0.3629 0.0000
Cu1 Cu 0.1571 0.6571 0.5000
Ir1 Ir 0.0000 0.0000 0.0000

=====

# Be3Cu2Ir2 (PBE, optimized geometry)
# * total energy: -77.78 eV/cell
# * volume: 11.3 A^3/atom
# * energy of formation from the pure elements: -256.4 meV per atom
# * DOS(E_F): 3.45 states/eV per cell
# * theoretical density: 11.35 g cm⁻³
data_Be3Cu2Ir2
_chemical_formula_sum 'Be6 Cu4 Ir4'
_space_group_name_H-M_alt 'C 1 2/m 1'
_space_group_IT_number 12
_cell_length_a 6.7798
_cell_length_b 3.9222
_cell_length_c 6.3472
_cell_angle_alpha 90.00
_cell_angle_beta 110.99
_cell_angle_gamma 90.00
loop_
_space_group_symop_operation_xyz
'x,y,z'
'-x,-y,-z'
'-x,y,-z'
'x,-y,z'
'x+1/2,y+1/2,z'
'-x+1/2,-y+1/2,-z'
'-x+1/2,y+1/2,-z'
'x+1/2,-y+1/2,z'
loop_
_atom_site_label
_atom_site_type_symbol
_atom_site_fract_x
_atom_site_fract_y
_atom_site_fract_z
Be1 Be 0.0000 0.0000 0.0000
Be2 Be 0.2408 0.5000 0.2220
Cu1 Cu 0.1337 0.0000 0.4009
Ir1 Ir 0.1138 0.5000 0.8410

=====

# Be4Cu3Ir (PBE, optimized geometry)
# * total energy: -37.98 eV/cell
# * volume: 10.2 A^3/atom
# * energy of formation from the pure elements: -240.7 meV per atom
# * DOS(E_F): 2.44 states/eV per cell
# * theoretical density: 8.52 g cm⁻³
data_Be4Cu3Ir
_chemical_formula_sum 'Be4 Cu3 Ir1'
_space_group_name_H-M_alt 'P 4/m m m'
_space_group_IT_number 123
_space_group_name_Hall '-P 4 2'
_cell_length_a 3.9048
_cell_length_b 3.9048
_cell_length_c 5.3529
_cell_angle_alpha 90.00
_cell_angle_beta 90.00
_cell_angle_gamma 90.00
loop_
_atom_site_label
_atom_site_type_symbol
_atom_site_fract_x
_atom_site_fract_y
_atom_site_fract_z
Be1 Be 0.0000 0.5000 0.2489
Cu1 Cu 0.0000 0.0000 0.0000
Cu2 Cu 0.0000 0.0000 0.5000
Cu3 Cu 0.5000 0.5000 0.5000
Ir1 Ir 0.5000 0.5000 0.0000

=====

# Be2CuIr (PBE, optimized geometry)
# * total energy: -62.37 eV/cell
# * volume: 11.4 A^3/atom
# * energy of formation from the pure elements: -94.8 meV per atom
# * DOS(E_F): 5.59 states/eV per cell
# * theoretical density: 9.96 g cm⁻³
data_Be2CuIr
_chemical_formula_sum 'Be6 Cu3 Ir3'
_space_group_name_H-M_alt 'R -3 m'
_space_group_IT_number 166
_space_group_name_Hall '-R 3 2"'
_cell_length_a 2.6829
_cell_length_b 2.6829
_cell_length_c 21.9787
_cell_angle_alpha 90.00
_cell_angle_beta 90.00
_cell_angle_gamma 120.00
loop_
_atom_site_label
_atom_site_type_symbol
_atom_site_fract_x
_atom_site_fract_y
_atom_site_fract_z
Be1 Be 0.0000 0.0000 0.2487
Cu1 Cu 0.0000 0.0000 0.0000
Ir1 Ir 0.0000 0.0000 0.5000

=====

# BeCuIr2 (PBE, optimized geometry)
# * total energy: -95.31 eV/cell
# * volume: 14.2 A^3/atom
# * energy of formation from the pure elements: 429.3 meV per atom
# * DOS(E_F): 15.55 states/eV per cell
# * theoretical density: 13.38 g cm⁻³
data_BeCuIr2
_chemical_formula_sum 'Be4 Cu4 Ir8'
_space_group_name_H-M_alt 'I -4 2 d'
_space_group_IT_number 122
_space_group_name_Hall 'I -4 2bw'
_cell_length_a 3.6781
_cell_length_b 3.6781
_cell_length_c 16.7656
_cell_angle_alpha 90.00
_cell_angle_beta 90.00
_cell_angle_gamma 90.00
loop_
_atom_site_label
_atom_site_type_symbol
_atom_site_fract_x
_atom_site_fract_y
_atom_site_fract_z
Be1 Be 0.0000 0.0000 0.0000
Cu1 Cu 0.0000 0.0000 0.5000
Ir1 Ir 0.2387 0.2500 0.1250

=====

# BeCuIr2 (PBE, optimized geometry)
# * total energy: -99.76 eV/cell
# * volume: 13.0 A^3/atom
# * energy of formation from the pure elements: 151.0 meV per atom
# * DOS(E_F): 16.29 states/eV per cell
# * theoretical density: 14.60 g cm⁻³
data_BeCuIr2
_chemical_formula_sum 'Be4 Cu4 Ir8'
_space_group_name_H-M_alt 'F -4 3 m'
_space_group_IT_number 216
_space_group_name_Hall 'F -4 2 3'
_cell_length_a 5.9237
_cell_length_b 5.9237
_cell_length_c 5.9237
_cell_angle_alpha 90.00
_cell_angle_beta 90.00
_cell_angle_gamma 90.00
loop_
_atom_site_label
_atom_site_type_symbol
_atom_site_fract_x
_atom_site_fract_y
_atom_site_fract_z
Be1 Be 0.0000 0.0000 0.0000
Cu1 Cu 0.2500 0.2500 0.7500
Ir1 Ir 0.0000 0.0000 0.5000
Ir2 Ir 0.2500 0.2500 0.2500

=====

# BeCuIr2 (PBE, optimized geometry)
# * total energy: -25.48 eV/cell
# * volume: 12.7 A^3/atom
# * energy of formation from the pure elements: 16.5 meV per atom
# * DOS(E_F): 3.75 states/eV per cell
# * theoretical density: 14.89 g cm⁻³
data_BeCuIr2
_chemical_formula_sum 'Be1 Cu1 Ir2'
_space_group_name_H-M_alt 'P m m 2'
_space_group_IT_number 25
_cell_length_a 2.6952
_cell_length_b 3.6022
_cell_length_c 5.2489
_cell_angle_alpha 90.00
_cell_angle_beta 90.00
_cell_angle_gamma 90.00
loop_
_space_group_symop_operation_xyz
'x,y,z'
'-x,-y,z'
'-x,y,z'
'x,-y,z'
loop_
_atom_site_label
_atom_site_type_symbol
_atom_site_fract_x
_atom_site_fract_y
_atom_site_fract_z
Be1 Be 0.0000 0.0000 0.0000
Cu1 Cu 0.5000 0.5000 0.2248
Ir1 Ir 0.0000 0.0000 0.4790
Ir2 Ir 0.5000 0.5000 0.7492